NbCrI3 | GGA-PBEsol | optimized geometry

abc: 5.5189 5.5189 5.5189
angles: 90.00 90.00 90.00
With the nearest neighbours (Å) after each atom.
Space group Pm-3m (No. 221)
Unique sites:
Nb1 0.0000 0.0000 0.0000  6 I 2.76
Cr1 0.5000 0.5000 0.5000  12 I 3.90
I1 0.0000 0.0000 0.5000  2 Nb 2.76

Summary:
Uncorrected energy, eV per atom: -4.650
Total moment, μB per formula unit: 7.05


SrNb2CrI | GGA-PBEsol | optimized geometry

abc: 4.9224 4.9224 5.7888
angles: 90.00 90.00 90.00
With the nearest neighbours (Å) after each atom.
Space group P4/mmm (No. 123)
Unique sites:
Sr1 0.0000 0.0000 0.0000  4 Nb 2.46
Nb1 0.0000 0.5000 0.0000  2 Sr 2.46
Cr1 0.5000 0.5000 0.5000  4 I 3.48, 8 Nb 3.80
I1 0.0000 0.0000 0.5000  2 Sr 2.89

Summary:
Uncorrected energy, eV per atom: -4.597
Total moment, μB per formula unit: 4.00


- Number 2 is which compound?
  SrNb2CrI